1.
The following is a DFT calculation (PBE) of crystalline ZrTi2N2 at its relaxed geometry.

POSCAR file:
```
ZrTi2N2
1.0
-0.742 -5.097 -1.810
1.830 -1.076 5.030
-4.609 3.135 -0.109
N Zr Ti
4 2 4
direct
0.591 0.909 0.750
0.409 0.091 0.250
0.160 0.340 0.750
0.840 0.660 0.250
0.125 0.375 0.250
0.875 0.625 0.750
0.478 0.729 0.957
0.522 0.271 0.043
0.771 0.022 0.543
0.229 0.978 0.457
```

Properties
Theoretical density   5.6 g/cm3
Magnetization   0.000 μB/atom
VASP energy   -9.168 eV per atom
E_form (uncorrected)   -0.97 eV per atom


2.
The following is a DFT calculation (PBE) of crystalline Zr2Ti2N3 at its relaxed geometry.

POSCAR file:
```
Zr2Ti2N3
1.0
-3.108 0.159 0.634
0.995 -1.080 5.148
1.734 5.275 -0.782
N Zr Ti
3 2 2
direct
0.000 0.000 0.000
0.751 0.256 0.503
0.249 0.744 0.497
0.617 0.849 0.233
0.383 0.151 0.767
0.144 0.352 0.289
0.856 0.648 0.711
```

Properties
Theoretical density   6.1 g/cm3
Magnetization   0.000 μB/atom
VASP energy   -9.827 eV per atom
E_form (uncorrected)   -1.56 eV per atom


3.
The following is a DFT calculation (PBE) of crystalline Zr3TiN at its relaxed geometry.

POSCAR file:
```
Zr3TiN
1.0
6.907 1.013 0.066
-0.915 6.921 -0.066
-3.171 -3.834 3.777
Zr N Ti
6 2 2
direct
0.240 0.439 0.680
0.727 0.979 0.247
0.273 0.021 0.753
0.760 0.561 0.320
0.268 0.520 0.247
0.732 0.480 0.753
0.501 0.239 0.740
0.499 0.761 0.260
0.259 0.946 0.206
0.741 0.054 0.794
```

Properties
Theoretical density   6.1 g/cm3
Magnetization   0.000 μB/atom
VASP energy   -9.064 eV per atom
Excess energy over the best structure of this formula in the dataset   0.000 eV/atom
E_form (uncorrected)   -0.69 eV per atom


4.
The following is a DFT calculation (PBE) of crystalline Zr2Ti4N3 at its relaxed geometry.

POSCAR file:
```
Zr2Ti4N3
1.0
-1.633 0.508 -2.491
-1.258 -1.378 2.376
-4.495 14.167 5.834
Ti N Zr
4 3 2
direct
0.667 0.333 0.413
0.000 0.000 0.564
0.000 0.000 0.725
0.667 0.333 0.253
0.667 0.333 0.646
0.000 0.000 0.985
0.000 0.000 0.327
0.667 0.333 0.076
0.667 0.333 0.889
```

Properties
Theoretical density   5.5 g/cm3
Magnetization   0.000 μB/atom
VASP energy   -8.978 eV per atom
E_form (uncorrected)   -0.79 eV per atom


5.
The following is a DFT calculation (PBE) of crystalline Zr2TiN at its relaxed geometry.

POSCAR file:
```
Zr2TiN
1.0
-3.239 -0.635 -5.525
-3.462 -4.773 2.578
-5.986 -0.118 -0.226
Zr N Ti
4 2 2
direct
0.875 0.766 0.750
0.234 0.625 0.250
0.516 0.125 0.250
0.375 0.484 0.750
0.250 0.750 0.500
0.500 0.500 0.000
0.750 0.250 0.500
0.000 0.000 0.000
```

Properties
Theoretical density   5.0 g/cm3
Magnetization   0.316 μB/atom
VASP energy   -8.503 eV per atom
E_form (uncorrected)   -0.17 eV per atom


6.
The following is a DFT calculation (PBE) of crystalline ZrTiN2 at its relaxed geometry.

POSCAR file:
```
ZrTiN2
1.0
-0.991 1.631 2.475
-2.044 -0.954 -2.164
-1.444 -8.893 5.283
N Ti Zr
4 2 2
direct
0.333 0.667 0.372
0.667 0.333 0.628
0.333 0.667 0.128
0.667 0.333 0.872
0.333 0.667 0.750
0.667 0.333 0.250
0.000 0.000 0.500
0.000 0.000 0.000
```

Properties
Theoretical density   6.3 g/cm3
Magnetization   0.000 μB/atom
VASP energy   -9.878 eV per atom
E_form (uncorrected)   -1.60 eV per atom


7.
The following is a DFT calculation (PBE) of crystalline ZrTiN2 at its relaxed geometry.

POSCAR file:
```
ZrTiN2
1.0
-1.211 0.413 3.681
0.215 3.478 1.743
-3.256 1.999 0.767
Zr N Ti
1 2 1
direct
0.500 0.500 0.500
0.250 0.250 0.250
0.750 0.750 0.750
0.000 0.000 0.000
```

Properties
Theoretical density   6.6 g/cm3
Magnetization   0.000 μB/atom
VASP energy   -9.074 eV per atom
E_form (uncorrected)   -0.80 eV per atom


8.
The following is a DFT calculation (PBE) of crystalline ZrTi5N6 at its relaxed geometry.

POSCAR file:
```
ZrTi5N6
1.0
5.227 0.128 0.795
1.285 4.435 2.586
0.087 0.042 5.301
N Zr Ti
6 1 5
direct
0.743 0.429 0.657
0.743 0.086 0.343
0.257 0.571 0.343
0.744 0.742 0.000
0.257 0.914 0.657
0.256 0.258 0.000
0.000 0.000 0.000
0.500 0.830 0.339
0.500 0.500 0.000
0.500 0.170 0.661
0.000 0.333 0.334
0.000 0.667 0.666
```

Properties
Theoretical density   5.7 g/cm3
Magnetization   0.000 μB/atom
VASP energy   -9.845 eV per atom
E_form (uncorrected)   -1.68 eV per atom